No. 1
Material: CaMgTe4
Method: DFT, PBE
State: optimized geometry

The value obtained for the mass density is 4.990 g/cm³. The value obtained for the uncorrected formation energy is -0.064 eV/atom. The total DFT energy (no corrections) is -2.758 eV per atom.

Cell lengths 6.4671, 6.4671, 6.4671 Å; angles 60.00, 60.00, 60.00 degrees
Fractional positions:
Ca  0.7500  0.7500  0.7500
Mg  0.0000  0.0000  0.0000
Te  0.8756  0.3748  0.3748
Te  0.3748  0.3748  0.8756
Te  0.3748  0.8756  0.3748
Te  0.3748  0.3748  0.3748

=====

No. 2
Material: CaMgTe2
Method: DFT, PBE
State: optimized geometry

The value obtained for the mass density is 3.947 g/cm³. The value obtained for the uncorrected formation energy is -0.887 eV/atom. The total DFT energy (no corrections) is -3.357 eV per atom.

Cell lengths 4.3803, 4.3803, 8.1532 Å; angles 90.00, 90.00, 120.74 degrees
Fractional positions:
Ca  0.5000  0.5000  0.2500
Mg  0.5000  0.5000  0.7500
Te  0.0000  0.0000  0.9849
Te  0.0000  0.0000  0.5151

=====

Q: What is the formula in the first record?
A: CaMgTe4

=====

What did the second record say?
Material: CaMgTe2
Method: DFT, PBE
State: optimized geometry

The value obtained for the mass density is 3.947 g/cm³. The value obtained for the uncorrected formation energy is -0.887 eV/atom. The total DFT energy (no corrections) is -3.357 eV per atom.

Cell lengths 4.3803, 4.3803, 8.1532 Å; angles 90.00, 90.00, 120.74 degrees
Fractional positions:
Ca  0.5000  0.5000  0.2500
Mg  0.5000  0.5000  0.7500
Te  0.0000  0.0000  0.9849
Te  0.0000  0.0000  0.5151

=====

Q: Which formula does entry 1 have?
A: CaMgTe4

=====

Q: Among the records above, which one has the lowest total DFT energy (no corrections)?
A: CaMgTe2